(1)
Compound: NbZnPt
Source: the Alexandria database
Functional: PBE
Structure: relaxed

- Energy of formation: -0.386 eV/atom
- Final energy: -6.181 eV per atom

Lattice parameters (Å, degrees): 5.067 2.812 7.048 90.00 103.87 90.00
Space group Pm (No. 6)
Unique sites:
Nb 0.000 0.000 0.000 (multiplicity 1)
Nb 0.199 0.000 0.638 (multiplicity 1)
Zn 0.384 0.500 0.325 (multiplicity 1)
Zn 0.481 0.500 0.979 (multiplicity 1)
Pt 0.715 0.500 0.678 (multiplicity 1)
Pt 0.876 0.500 0.315 (multiplicity 1)

=====

(2)
Compound: CaNb2H
Source: the Alexandria database
Functional: PBE
Structure: relaxed

- Final energy: -6.135 eV per atom

Lattice parameters (Å, degrees): 4.998 5.812 6.211 95.40 112.41 115.40
Space group P1 (No. 1)
Unique sites:
Ca 0.000 0.000 0.000 (multiplicity 1)
Ca 0.213 0.552 0.872 (multiplicity 1)
Nb 0.342 0.064 0.630 (multiplicity 1)
Nb 0.484 0.520 0.464 (multiplicity 1)
Nb 0.702 0.075 0.395 (multiplicity 1)
Nb 0.884 0.525 0.259 (multiplicity 1)
H 0.113 0.169 0.378 (multiplicity 1)
H 0.975 0.716 0.580 (multiplicity 1)

=====

(3)
Compound: SrCeTe2
Source: the Alexandria database
Functional: PBE
Structure: relaxed

- ΔE_f (raw): -553 kJ/mol of formula units
- Final energy: -4.907 eV per atom

Lattice parameters (Å, degrees): 4.4869 4.4869 24.2708 90.00 90.00 120.00
Space group R3m (No. 160, hexagonal axes)
Unique sites:
Sr 0.0000 0.0000 0.0000 (multiplicity 3)
Ce 0.0000 0.0000 0.1721 (multiplicity 3)
Te 0.0000 0.0000 0.5830 (multiplicity 3)
Te 0.0000 0.0000 0.7573 (multiplicity 3)